10
Lattice="6.865 0.000 0.000 0.000 6.865 0.000 0.000 0.000 3.162" Properties=species:S:1:pos:R:3 comment="Nb2VNi2, optimized geometry, DFT PBE-GGA" sg="No. 127" formation_energy_ev_per_fu=-0.1 final_energy_ev_per_cell=-81.9 vol_a3_per_atom=14.90 pbc="T T T"
Nb 1.221 2.211 0.000
Nb 2.211 5.644 0.000
Nb 4.654 1.221 0.000
Nb 5.644 4.654 0.000
V 0.000 0.000 1.581
V 3.433 3.433 1.581
Ni 0.842 4.274 1.581
Ni 2.591 0.842 1.581
Ni 4.274 6.024 1.581
Ni 6.024 2.591 1.581